# 1
Here is Dy4Rh2N after structural relaxation from the Alexandria database. Energies are from PBE-GGA.

```
7
Lattice="-1.282 4.063 -1.741 -1.969 -2.148 -3.563 -7.845 0.569 1.019" Properties=species:S:1:pos:R:3 pbc="T T T"
N 0.000 0.000 0.000
Rh -7.797 1.631 -2.621
Rh -3.299 0.853 -1.665
Dy -5.443 1.778 -4.010
Dy -5.652 0.706 -0.276
Dy -0.984 -1.074 -1.782
Dy -0.641 2.032 -0.871
```

formation energy from raw total energies = -818 meV/atom
space-group type = I4/mmm, No. 139



# 2
Here is Dy2RhN after structural relaxation from the Alexandria database. Energies are from PBE-GGA.

```
4
Lattice="-2.661 -0.893 2.015 0.453 -0.347 3.408 -2.308 6.282 2.699" Properties=species:S:1:pos:R:3 pbc="T T T"
N -2.258 2.521 4.060
Rh 0.000 0.000 0.000
Dy -3.313 3.465 6.049
Dy -1.203 1.576 2.072
```

formation energy from raw total energies = -1040 meV/atom
space-group type = R-3m, No. 166



# 3
Here is Dy12Rh3N5 after structural relaxation from the Alexandria database. Energies are from PBE-GGA.

```
80
Lattice="13.156 0.000 0.000 -4.385 12.403 0.000 -4.385 -6.202 10.742" Properties=species:S:1:pos:R:3 pbc="T T T"
N -1.096 3.101 2.685
N -2.193 6.202 0.000
N 0.000 0.000 0.000
N 3.289 2.326 1.343
N 4.385 -3.101 5.371
N 4.385 6.202 0.000
N -3.289 6.977 4.028
N 5.482 -3.876 9.399
N 5.482 5.426 4.028
N 1.096 -3.101 8.056
N 3.289 9.302 2.685
N 2.193 3.101 5.371
N 6.578 0.000 0.000
N -2.193 -3.101 5.371
N -1.096 0.775 6.713
N -1.096 10.078 1.343
N -4.385 3.101 5.371
N 7.674 -0.775 6.713
N 1.096 3.876 9.399
N 5.482 3.101 8.056
Rh 7.674 3.876 1.343
Rh 7.674 8.527 1.343
Rh -1.096 5.426 6.713
Rh 1.096 -0.775 4.028
Rh 9.867 0.000 2.685
Rh 1.096 6.202 2.685
Rh 3.289 0.000 8.056
Rh -5.482 6.202 8.056
Rh 3.289 6.977 6.713
Rh 5.482 0.775 4.028
Rh -3.289 -2.326 9.399
Rh -3.289 2.326 9.399
Dy 8.637 1.355 0.243
Dy 0.134 3.988 4.319
Dy 9.897 2.872 3.177
Dy 5.451 1.785 1.295
Dy 1.602 4.507 7.321
Dy 9.440 6.290 1.951
Dy -1.127 7.289 4.472
Dy -3.259 10.618 1.295
Dy 0.591 7.896 7.321
Dy 5.908 6.113 1.951
Dy 6.712 3.568 4.076
Dy 6.712 11.049 0.243
Dy -3.794 5.493 5.614
Dy 2.862 4.468 0.899
Dy -4.519 8.835 4.076
Dy 2.327 -2.213 6.423
Dy -0.591 0.986 2.193
Dy 2.862 7.847 1.052
Dy 5.451 9.531 3.177
Dy -0.670 4.557 1.052
Dy -2.784 7.188 8.548
Dy 3.319 5.115 4.472
Dy 5.987 6.910 5.614
Dy 5.055 -1.733 9.843
Dy 1.066 1.087 6.270
Dy -1.602 -0.708 5.128
Dy -0.670 7.935 0.899
Dy -1.066 -3.329 7.564
Dy 7.169 -0.986 2.193
Dy 5.055 1.645 9.690
Dy 1.523 -1.645 9.690
Dy 2.059 8.415 4.319
Dy 4.976 5.216 8.548
Dy 8.904 -2.634 6.665
Dy 8.179 0.708 5.128
Dy -2.327 -4.847 10.499
Dy 1.523 1.733 9.843
Dy 3.794 -1.694 3.420
Dy -1.523 0.088 8.791
Dy -2.327 2.634 6.665
Dy 7.644 -4.416 9.447
Dy 5.512 -1.087 6.270
Dy -1.066 4.416 9.447
Dy -5.055 -0.088 8.791
Dy 2.784 1.694 3.420
Dy -5.512 3.329 7.564
Dy 4.251 2.213 6.423
Dy -4.251 4.847 10.499
```

formation energy from raw total energies = -971 meV/atom
space-group type = Ia-3d, No. 230



# 4
Here is Dy2ThRhN4 after structural relaxation from the Alexandria database. Energies are from PBE-GGA.

```
16
Lattice="-3.368 -0.105 0.547 1.727 -5.780 -1.131 1.889 -1.650 11.317" Properties=species:S:1:pos:R:3 pbc="T T T"
Dy 1.070 -5.241 5.585
Dy -1.579 -1.633 0.617
Dy -0.823 -2.294 5.148
Dy 1.827 -5.902 10.116
Th 1.426 -2.553 8.294
Th -1.179 -4.982 2.439
Rh -0.237 -5.395 8.158
Rh 0.485 -2.141 2.575
N 0.267 -3.468 0.978
N -0.478 -3.667 7.010
N -0.020 -4.067 9.754
N 0.725 -3.868 3.723
N 0.944 -0.825 5.658
N 0.000 0.000 0.000
N 1.456 -6.582 7.702
N -1.208 -0.954 3.031
```

formation energy from raw total energies = -1116 meV/atom
space-group type = Cmcm, No. 63



# 5
Here is DyTh2RhN4 after structural relaxation from the Alexandria database. Energies are from PBE-GGA.

```
16
Lattice="3.448 0.000 0.000 -1.724 6.007 0.000 0.000 0.000 12.037" Properties=species:S:1:pos:R:3 pbc="T T T"
Dy 0.000 1.384 9.028
Dy 1.724 4.623 3.009
Th 0.000 4.447 6.703
Th 1.724 1.560 0.685
Th 1.724 1.560 5.334
Th 0.000 4.447 11.352
Rh 1.724 4.229 9.028
Rh 0.000 1.778 3.009
N 0.000 3.351 1.489
N 1.724 2.656 7.508
N 1.724 2.656 10.548
N 0.000 3.351 4.529
N 0.000 0.000 6.018
N 0.000 0.000 0.000
N 0.000 5.589 9.028
N 1.724 0.418 3.009
```

formation energy from raw total energies = -1080 meV/atom
space-group type = Cmcm, No. 63



# 6
Here is DyRuN after structural relaxation from the Alexandria database. Energies are from PBE-GGA.

```
6
Lattice="4.497 0.000 0.000 0.000 4.497 0.000 -2.249 -2.249 4.611" Properties=species:S:1:pos:R:3 pbc="T T T"
N 2.249 2.249 2.399
N 0.000 2.249 0.094
Ru 0.000 2.249 2.109
Ru 2.249 2.249 4.414
Dy 2.249 2.249 0.103
Dy 2.249 0.000 2.408
```

formation energy from raw total energies = -438 meV/atom
space-group type = I4_1md, No. 109



# 7
Here is Dy3Ru5N12 after structural relaxation from the Alexandria database. Energies are from PBE-GGA.

```
80
Lattice="-8.331 5.773 4.056 -2.798 -4.081 -9.731 2.421 -8.177 6.816" Properties=species:S:1:pos:R:3 pbc="T T T"
Dy -6.995 1.777 0.245
Dy -9.085 0.968 -2.897
Dy -3.709 -6.007 -1.518
Dy -1.525 -2.133 2.354
Dy -7.034 2.497 4.037
Dy -4.267 -2.430 -2.857
Dy -4.440 -4.055 3.998
Dy -1.674 -8.982 -2.896
Dy -7.183 -4.352 -1.213
Dy -4.998 -0.479 2.658
Dy 0.378 -7.454 4.038
Dy -1.713 -8.262 0.896
Ru -1.485 -2.853 -1.438
Ru -1.399 -2.041 -4.866
Ru 0.000 0.000 0.000
Ru -3.521 0.122 -0.060
Ru -2.955 -1.202 5.436
Ru -5.564 0.846 -2.837
Ru -2.232 -5.406 -4.236
Ru -4.479 -3.335 7.790
Ru -7.089 -1.287 -0.484
Ru -1.658 -4.478 5.417
Ru -7.049 -2.007 -4.276
Ru -4.354 -3.243 0.570
Ru -4.165 2.886 2.028
Ru 1.210 -4.089 3.408
Ru -1.619 -5.198 1.625
Ru -4.228 -3.150 -6.649
Ru -0.188 -6.129 -1.458
Ru -6.476 -1.080 5.376
Ru -5.187 -6.608 1.201
Ru -7.222 -3.632 2.579
N -6.129 3.402 1.828
N -3.136 -3.567 -1.034
N -8.508 1.662 2.297
N -4.610 1.209 0.956
N -5.170 -5.072 0.182
N -9.398 1.729 -0.613
N -3.876 -4.830 -3.635
N -3.099 -4.144 -7.715
N -6.078 -6.117 -2.462
N -7.037 0.187 -1.589
N -7.070 -0.468 1.167
N -9.291 0.881 -5.315
N -1.693 -6.432 -2.802
N -4.098 -0.116 -1.794
N -2.290 -6.317 -5.836
N -2.357 -2.972 4.616
N -0.711 -1.911 -0.056
N -5.666 -0.818 -4.014
N -8.661 -1.457 -3.571
N -1.917 -1.823 -2.904
N -3.985 -8.326 -2.548
N -5.708 -2.479 -0.751
N -8.540 -2.389 -0.763
N -5.321 -4.189 6.390
N -2.999 -4.006 1.891
N -0.168 -4.096 1.904
N -3.386 -2.296 -5.249
N -0.046 -5.028 4.712
N -4.722 1.840 3.689
N -6.791 -4.663 4.045
N -3.042 -5.668 5.155
N -6.351 -3.513 -3.475
N -7.996 -4.574 1.196
N -6.417 -0.168 6.977
N -7.015 -0.054 3.943
N 0.584 -7.367 6.456
N -4.609 -6.370 2.935
N -2.629 -0.368 3.603
N -1.670 -6.672 2.730
N -1.638 -6.017 -0.026
N -5.608 -2.341 8.855
N -4.831 -1.656 4.775
N -4.098 -7.694 0.185
N 0.691 -8.214 1.753
N -3.538 -1.414 0.959
N -0.200 -8.147 -1.157
N -5.572 -2.918 2.175
N -2.578 -9.887 -0.688
```

formation energy from raw total energies = -145 meV/atom
space-group type = Ia-3d, No. 230



# 8
Here is Dy2RuN after structural relaxation from the Alexandria database. Energies are from PBE-GGA.

```
4
Lattice="3.425 0.000 0.000 1.712 2.966 0.000 1.712 0.989 7.001" Properties=species:S:1:pos:R:3 pbc="T T T"
Ru 0.000 0.000 0.000
N 3.425 1.977 3.500
Dy 5.137 2.966 4.919
Dy 1.712 0.989 2.082
```

formation energy from raw total energies = -774 meV/atom
space-group type = R-3m, No. 166



# 9
Here is Dy3RuN after structural relaxation from the Alexandria database. Energies are from PBE-GGA.

```
5
Lattice="-4.016 -1.912 -1.503 0.560 -3.550 3.022 -2.367 2.406 3.264" Properties=species:S:1:pos:R:3 pbc="T T T"
Ru -2.912 -1.528 2.392
N 0.000 0.000 0.000
Dy 0.280 -1.775 1.511
Dy -1.183 1.203 1.632
Dy -2.008 -0.956 -0.751
```

formation energy from raw total energies = -653 meV/atom
space-group type = Pm-3m, No. 221



# 10
Here is DyRuN2 after structural relaxation from the Alexandria database. Energies are from PBE-GGA.

```
4
Lattice="3.355 0.000 0.000 1.677 2.905 0.000 1.677 0.968 4.800" Properties=species:S:1:pos:R:3 pbc="T T T"
Ru 0.000 0.000 0.000
N 1.677 0.968 1.002
N 5.032 2.905 3.798
Dy 3.355 1.937 2.400
```

formation energy from raw total energies = -606 meV/atom
space-group type = R-3m, No. 166



# 11
Here is SmDy2RuN4 after structural relaxation from the Alexandria database. Energies are from PBE-GGA.

```
16
Lattice="-0.598 -0.494 3.331 4.693 -3.562 -1.441 7.349 8.632 2.600" Properties=species:S:1:pos:R:3 pbc="T T T"
Sm 6.599 5.532 2.006
Sm 4.845 -0.956 2.484
Dy 7.227 1.872 1.576
Dy 1.165 -0.881 1.834
Dy 4.217 2.704 2.914
Dy 10.280 5.457 2.656
Ru 8.372 3.488 3.777
Ru 3.072 1.088 0.713
N 3.302 -0.927 0.456
N 6.363 3.414 3.405
N 8.142 5.503 4.034
N 5.081 1.162 1.085
N 3.675 4.316 1.300
N 0.000 0.000 0.000
N 9.420 3.086 2.150
N 2.024 1.490 2.340
```

formation energy from raw total energies = -1022 meV/atom
space-group type = Cmcm, No. 63



# 12
Here is Sm2DyRuN4 after structural relaxation from the Alexandria database. Energies are from PBE-GGA.

```
16
Lattice="-1.674 -0.519 -2.945 -3.219 -2.891 4.332 -6.376 9.913 1.877" Properties=species:S:1:pos:R:3 pbc="T T T"
Sm -6.446 3.061 3.124
Sm -2.179 -0.667 -0.638
Sm -4.822 3.442 0.140
Sm -9.089 7.170 3.902
Dy -5.830 6.621 2.147
Dy -5.439 -0.118 1.117
Ru -8.546 4.902 1.999
Ru -2.723 1.601 1.265
N -3.071 -0.365 1.809
N -6.743 4.606 1.026
N -8.197 6.868 1.455
N -4.526 1.897 2.238
N -3.188 4.956 0.939
N 0.000 0.000 0.000
N -8.389 4.633 3.951
N -2.880 1.870 -0.687
```

formation energy from raw total energies = -902 meV/atom
space-group type = Cmcm, No. 63



# 13
Here is TbDy2RuN4 after structural relaxation from the Alexandria database. Energies are from PBE-GGA.

```
16
Lattice="-3.222 -0.748 0.739 2.890 0.442 5.272 -2.534 11.343 0.439" Properties=species:S:1:pos:R:3 pbc="T T T"
Tb -1.572 8.525 1.778
Tb -1.294 2.512 4.671
Dy -0.431 6.200 4.398
Dy -1.382 0.122 1.870
Dy -2.435 4.836 2.052
Dy -1.484 10.914 4.580
Ru -2.582 8.182 4.800
Ru -0.284 2.854 1.650
N 0.355 1.519 3.086
N -2.617 6.811 3.259
N -3.222 9.518 3.364
N -0.249 4.225 3.191
N -1.267 5.671 0.219
N 0.000 0.000 0.000
N -0.750 8.568 5.404
N -2.116 2.468 1.045
```

formation energy from raw total energies = -1028 meV/atom
space-group type = Cmcm, No. 63



# 14
Here is Dy2ThRuN4 after structural relaxation from the Alexandria database. Energies are from PBE-GGA.

```
16
Lattice="3.431 0.000 0.000 -1.716 5.871 0.000 0.000 0.000 11.524" Properties=species:S:1:pos:R:3 pbc="T T T"
Dy 0.000 4.344 6.318
Dy 1.716 1.527 0.556
Dy 1.716 1.527 5.206
Dy 0.000 4.344 10.968
Th 0.000 1.336 8.643
Th 1.716 4.535 2.881
Ru 1.716 4.171 8.643
Ru 0.000 1.700 2.881
N 0.000 3.216 1.494
N 1.716 2.655 7.256
N 1.716 2.655 10.030
N 0.000 3.216 4.268
N 0.000 0.000 5.762
N 0.000 0.000 0.000
N 0.000 5.358 8.643
N 1.716 0.513 2.881
```

formation energy from raw total energies = -1115 meV/atom
space-group type = Cmcm, No. 63



# 15
Here is DyTm2RuN4 after structural relaxation from the Alexandria database. Energies are from PBE-GGA.

```
16
Lattice="3.352 0.000 0.000 -1.676 5.716 0.000 0.000 0.000 11.468" Properties=species:S:1:pos:R:3 pbc="T T T"
Dy 0.000 1.489 8.601
Dy 1.676 4.227 2.867
Tm 0.000 4.216 6.213
Tm 1.676 1.500 0.479
Tm 1.676 1.500 5.256
Tm 0.000 4.216 10.990
Ru 1.676 4.190 8.601
Ru 0.000 1.526 2.867
N 0.000 3.049 1.472
N 1.676 2.667 7.206
N 1.676 2.667 9.997
N 0.000 3.049 4.263
N 0.000 0.000 5.734
N 0.000 0.000 0.000
N 0.000 5.200 8.601
N 1.676 0.516 2.867
```

formation energy from raw total energies = -1086 meV/atom
space-group type = Cmcm, No. 63



Mass density
In order: 9.43 10.24 8.83 10.19 10.46 9.88 7.70 10.28 9.67 10.35 9.07 8.57 9.33 10.22 9.94
Unit: Mg/m³